First-principles (GGA-PBE) data for a relaxed Ce2HgRh crystal, as listed in Alexandria.

```
Ce2HgRh
1.0
-0.024 -2.645 2.974
3.236 2.222 -0.658
-3.889 6.602 3.178
Ce Hg Rh
2 1 1
Direct
0.469 0.735 0.204 Ce
0.531 0.265 0.796 Ce
0.000 0.500 0.500 Hg
0.000 0.000 0.000 Rh
```

## Properties
Relative energy among the computed polymorphs ... 0.0251 eV/atom
Magnetization ... 1.491 μB/f.u.
Theoretical density ... 8.9 g cm⁻³



First-principles (GGA-PBE) data for a relaxed Ce2HgRh crystal, as listed in Alexandria.

```
Ce2HgRh
1.0
3.725 0.000 0.000
0.000 3.725 0.000
0.000 0.000 6.884
Hg Ce Rh
1 2 1
Direct
0.500 0.500 0.500 Hg
0.000 0.000 0.207 Ce
0.000 0.000 0.793 Ce
0.500 0.500 0.000 Rh
```

## Properties
Relative energy among the computed polymorphs ... 0.0000 eV/atom
Magnetization ... 0.963 μB/f.u.
Theoretical density ... 10.1 g cm⁻³



First-principles (GGA-PBE) data for a relaxed Ce7HgRh4 crystal, as listed in Alexandria.

```
Ce7HgRh4
1.0
5.744 0.000 0.000
2.872 7.811 0.252
2.872 0.685 6.555
Ce Rh Hg
7 4 1
Direct
0.924 0.386 0.766 Ce
0.076 0.614 0.234 Ce
0.681 0.370 0.269 Ce
0.191 0.117 0.502 Ce
0.500 0.000 0.000 Ce
0.319 0.630 0.731 Ce
0.809 0.883 0.498 Ce
0.563 0.231 0.642 Rh
0.301 0.333 0.065 Rh
0.699 0.667 0.935 Rh
0.437 0.769 0.358 Rh
0.000 0.000 0.000 Hg
```

## Properties
Final energy ... -6.348 eV/atom
Magnetization ... 4.147 μB/f.u.
Theoretical density ... 9.0 g cm⁻³



First-principles (GGA-PBE) data for a relaxed Ce6HgRh crystal, as listed in Alexandria.

```
Ce6HgRh
1.0
-3.327 -4.172 -3.085
4.508 -3.483 2.352
-3.603 0.901 5.079
Rh Ce Hg
1 6 1
Direct
0.500 0.500 0.500 Rh
0.833 0.414 0.809 Ce
0.167 0.586 0.191 Ce
0.818 0.818 0.400 Ce
0.182 0.182 0.600 Ce
0.586 0.167 0.191 Ce
0.414 0.833 0.809 Ce
0.000 0.000 0.000 Hg
```

## Properties
Final energy ... -5.531 eV/atom
Magnetization ... 2.843 μB/f.u.
Theoretical density ... 8.5 g cm⁻³



First-principles (GGA-PBE) data for a relaxed Ce5HgRh crystal, as listed in Alexandria.

```
Ce5HgRh
1.0
9.694 0.000 0.000
0.000 6.439 0.000
-4.847 -3.219 2.829
Ce Rh Hg
5 1 1
Direct
0.014 0.500 0.000 Ce
0.241 0.227 0.000 Ce
0.152 0.242 0.483 Ce
0.241 0.773 0.000 Ce
0.668 0.758 0.517 Ce
0.518 0.000 0.000 Rh
0.697 0.500 0.000 Hg
```

## Properties
Final energy ... -5.279 eV/atom
Magnetization ... 0.000 μB/f.u.
Theoretical density ... 9.4 g cm⁻³



First-principles (GGA-PBE) data for a relaxed Ce3HgRh2 crystal, as listed in Alexandria.

```
Ce3HgRh2
1.0
-1.792 1.294 -3.098
3.445 -2.331 -2.965
-8.089 -11.693 -0.206
Hg Ce Rh
2 6 4
Direct
0.922 0.500 0.500 Hg
0.078 0.000 0.000 Hg
0.619 0.000 0.200 Ce
0.381 0.500 0.300 Ce
0.551 0.500 0.000 Ce
0.449 0.000 0.500 Ce
0.381 0.500 0.700 Ce
0.619 0.000 0.800 Ce
0.998 0.500 0.860 Rh
0.002 0.000 0.640 Rh
0.002 0.000 0.360 Rh
0.998 0.500 0.140 Rh
```

## Properties
Final energy ... -6.044 eV/atom
Magnetization ... 1.228 μB/f.u.
Theoretical density ... 9.9 g cm⁻³



First-principles (GGA-PBE) data for a relaxed Ce6Hg3Rh crystal, as listed in Alexandria.

```
Ce6Hg3Rh
1.0
5.715 0.000 0.161
0.000 8.626 0.000
0.191 0.000 10.529
Rh Ce Hg
2 12 6
Direct
0.500 0.500 0.500 Rh
0.000 0.000 0.000 Rh
0.812 0.940 0.231 Ce
0.312 0.560 0.731 Ce
0.502 0.846 0.442 Ce
0.188 0.060 0.769 Ce
0.980 0.641 0.555 Ce
0.002 0.654 0.942 Ce
0.688 0.440 0.269 Ce
0.520 0.141 0.945 Ce
0.480 0.859 0.055 Ce
0.998 0.346 0.058 Ce
0.020 0.359 0.445 Ce
0.498 0.154 0.558 Ce
0.824 0.362 0.749 Hg
0.676 0.862 0.751 Hg
0.000 0.000 0.500 Hg
0.176 0.638 0.251 Hg
0.500 0.500 0.000 Hg
0.324 0.138 0.249 Hg
```

## Properties
Final energy ... -4.655 eV/atom
Magnetization ... 3.063 μB/f.u.
Theoretical density ... 9.9 g cm⁻³



First-principles (GGA-PBE) data for a relaxed Ce4HgRh crystal, as listed in Alexandria.

```
Ce4HgRh
1.0
-4.987 1.180 -2.507
-1.755 -3.739 7.399
3.283 6.929 0.388
Ce Hg Rh
8 2 2
Direct
0.719 0.075 0.390 Ce
0.281 0.925 0.610 Ce
0.969 0.829 0.205 Ce
0.736 0.376 0.205 Ce
0.264 0.624 0.795 Ce
0.171 0.315 0.390 Ce
0.829 0.685 0.610 Ce
0.031 0.171 0.795 Ce
0.639 0.389 0.779 Hg
0.361 0.611 0.221 Hg
0.727 0.977 0.954 Rh
0.273 0.023 0.046 Rh
```

## Properties
Final energy ... -5.557 eV/atom
Magnetization ... 0.000 μB/f.u.
Theoretical density ... 9.8 g cm⁻³



no.,volume (Å³ per cell)
1,109
2,96
3,293
4,223
5,177
6,276
7,519
8,292